Entry 1:
Computed, not measured: CaGa2SnPd after structural relaxation at the PBE-GGA level of DFT.

Cell lengths 5.2998, 5.0478, 5.2998 Å; angles 90.00, 90.00, 90.00 degrees
With the nearest neighbours (Å) after each atom.
Atoms (fractional coordinates):
Pd1 0.0000 0.5000 0.0000  2 Sn 2.52
Ga1 0.5000 0.0000 0.0000  2 Sn 2.65
Ga2 0.0000 0.0000 0.5000  2 Sn 2.65
Ca1 0.5000 0.5000 0.5000  8 Ga 3.66, 4 Pd 3.75
Sn1 0.0000 0.0000 0.0000  2 Pd 2.52, 4 Ga 2.65

Entry 2:
Computed, not measured: CaGaSnPd3 after structural relaxation at the PBE-GGA level of DFT.

Cell lengths 5.9960, 6.6024, 7.0667 Å; angles 117.85, 90.00, 90.00 degrees
With the nearest neighbours (Å) after each atom.
Atoms (fractional coordinates):
Pd1 0.0000 0.2837 0.0000  2 Ga 2.51, 2 Sn 2.72
Pd2 0.2500 0.1501 0.3002  1 Ga 2.60, 1 Sn 2.62
Pd3 0.5000 0.7163 0.0000  2 Ga 2.51, 2 Sn 2.72
Pd4 0.5000 0.2837 0.0000  2 Ga 2.51, 2 Sn 2.72
Pd5 0.0000 0.7163 0.0000  2 Ga 2.51, 2 Sn 2.72
Pd6 0.7500 0.8499 0.6998  1 Ga 2.60, 1 Sn 2.62
Ga1 0.7500 0.0580 0.1161  5 Pd 2.51-2.60
Ga2 0.2500 0.9420 0.8839  5 Pd 2.51-2.60
Sn1 0.2500 0.3594 0.7189  5 Pd 2.62-2.72
Sn2 0.7500 0.6406 0.2811  5 Pd 2.62-2.72
Ca1 0.2500 0.6988 0.3976  1 Ga 3.04, 2 Sn 3.09, 6 Pd 3.23-3.36
Ca2 0.7500 0.3012 0.6024  1 Ga 3.04, 2 Sn 3.09, 6 Pd 3.23-3.36

no.,formation energy from the elements (meV per atom),calculated density (g/cm3)
1,88,4.7
2,-530,7.4